No. 1
Entry from the Alexandria database: crystalline Ni3Bi2Se2 at its relaxed geometry (GGA-PBE).

```
Ni3Bi2Se2
1.0
6.9819 -0.0212 -0.0022
2.1120 6.6548 -0.0022
4.4810 3.2687 5.9576
Ni Bi Se
6 4 4
Direct
0.2729 0.7271 0.5000
0.7271 0.2729 0.5000
0.9837 0.9837 0.7876
0.0163 0.0163 0.2124
0.0000 0.5000 0.5000
0.5000 0.0000 0.5000
0.7851 0.7851 0.6976
0.2149 0.2149 0.3024
0.7491 0.7491 0.2562
0.2509 0.2509 0.7438
0.2549 0.6947 0.8067
0.3053 0.7451 0.1933
0.7451 0.3053 0.1933
0.6947 0.2549 0.8067
```

Properties
The value obtained for the uncorrected formation energy is -234 meV/atom.

***

No. 2
Entry from the Alexandria database: crystalline CaRhC at its relaxed geometry (GGA-PBE).

```
CaRhC
1.0
3.9168 0.0081 -0.0083
1.9438 6.2340 -0.5099
0.0051 1.5903 4.2872
Ca Rh C
2 2 2
Direct
0.6046 0.8123 0.0601
0.3660 0.2893 0.3508
0.8003 0.4207 0.7964
0.1695 0.6819 0.6138
0.9431 0.1352 0.0827
0.0270 0.9672 0.3271
```

Properties
As for the energy above the lowest structure with this stoichiometry: 0.000 eV/atom.

***

No. 3
Entry from the Alexandria database: crystalline ReSi2Au at its relaxed geometry (GGA-PBE).

```
ReSi2Au
1.0
6.7660 0.0345 -0.0203
5.2304 4.2921 0.0203
-5.9058 -2.4196 2.2466
Au Re Si
1 1 2
Direct
0.4455 0.4455 0.0000
0.2107 0.7107 0.5000
0.0577 0.0577 0.0000
0.7861 0.2861 0.5000
```

Properties
As for the energy above the lowest structure with this stoichiometry: 0.153 eV/atom. The value obtained for the uncorrected formation energy is 134 meV/atom.

***

No. 4
Entry from the Alexandria database: crystalline LiMgZn2 at its relaxed geometry (GGA-PBE).

```
LiMgZn2
1.0
-2.2277 -4.2595 -1.3432
3.2124 -2.9646 -2.4089
0.0100 2.3749 4.3898
Zn Mg Li
2 1 1
Direct
0.9950 0.9950 0.0000
0.5050 0.5050 0.0000
0.2500 0.7500 0.5000
0.7500 0.2500 0.5000
```

Properties
The calculation puts the calculated total energy at -6.53 eV per formula unit.